Entry 1:
# PBE-GGA Mg2HIr4, optimized geometry
data_Mg2HIr4
_chemical_formula_sum 'Mg4 H2 Ir8'
_cell_length_a 8.779
_cell_length_b 3.981
_cell_length_c 5.694
_cell_angle_alpha 90.00
_cell_angle_beta 107.43
_cell_angle_gamma 90.00
_space_group_name_H-M_alt 'P 1'
_space_group_IT_number 1
_space_group_name_Hall 'P 1'
loop_
_atom_site_label
_atom_site_type_symbol
_atom_site_fract_x
_atom_site_fract_y
_atom_site_fract_z
Mg1 Mg 0.000 0.000 0.000
Mg2 Mg 0.159 0.500 0.814
Mg3 Mg 0.500 0.500 0.000
Mg4 Mg 0.659 0.000 0.814
H1 H 0.234 0.000 0.875
H2 H 0.734 0.500 0.875
Ir1 Ir 0.175 0.500 0.340
Ir2 Ir 0.330 0.000 0.635
Ir3 Ir 0.342 0.000 0.181
Ir4 Ir 0.492 0.500 0.474
Ir5 Ir 0.675 0.000 0.340
Ir6 Ir 0.830 0.500 0.635
Ir7 Ir 0.842 0.500 0.181
Ir8 Ir 0.992 0.000 0.474
# ΔE to the lowest computed polymorph = 30 meV/atom
# D(E_F) = 9.4 states/eV per cell
# E = -86.1 eV/cell


Entry 2:
# PBE-GGA ScCrSb3, optimized geometry
data_ScCrSb3
_chemical_formula_sum 'Sc1 Cr1 Sb3'
_cell_length_a 5.389
_cell_length_b 5.389
_cell_length_c 5.389
_cell_angle_alpha 90.00
_cell_angle_beta 90.00
_cell_angle_gamma 90.00
_space_group_name_H-M_alt 'P 1'
_space_group_IT_number 1
_space_group_name_Hall 'P 1'
loop_
_atom_site_label
_atom_site_type_symbol
_atom_site_fract_x
_atom_site_fract_y
_atom_site_fract_z
Sc1 Sc 0.000 0.000 0.000
Cr1 Cr 0.500 0.500 0.500
Sb1 Sb 0.000 0.000 0.500
Sb2 Sb 0.000 0.500 0.000
Sb3 Sb 0.500 0.000 0.000
# energy relative to the elements, uncorrected = 1.096 eV/atom
# ΔE to the lowest computed polymorph = 773 meV/atom
# D(E_F) = 13.7 states/eV per cell
# E = -22.8 eV/cell


Entry 3:
# PBE-GGA CaTlP, optimized geometry
data_CaTlP
_chemical_formula_sum 'Ca2 Tl2 P2'
_cell_length_a 4.063
_cell_length_b 4.063
_cell_length_c 12.248
_cell_angle_alpha 90.00
_cell_angle_beta 90.00
_cell_angle_gamma 90.00
_space_group_name_H-M_alt 'P 1'
_space_group_IT_number 1
_space_group_name_Hall 'P 1'
loop_
_atom_site_label
_atom_site_type_symbol
_atom_site_fract_x
_atom_site_fract_y
_atom_site_fract_z
Ca1 Ca 0.000 0.000 0.000
Ca2 Ca 0.500 0.500 0.500
Tl1 Tl 0.000 0.000 0.734
Tl2 Tl 0.500 0.500 0.234
P1 P 0.000 0.000 0.524
P2 P 0.500 0.500 0.024
# calculated formation energy = -37.79 kJ per mole of atoms
# ΔE to the lowest computed polymorph = 180 meV/atom
# D(E_F) = 2.4 states/eV per cell
# E = -21.9 eV/cell